Material: MgCr3H
Method: DFT, PBE
State: optimized geometry

The total moment comes out at 0.29 μB/f.u. The calculation puts the density of states at the Fermi level at 1.338 states/eV/atom. The polymorph energy (0 for the lowest one) is 0.000 eV/atom.

It has space group Pm-3m (No. 221), with a = 3.791 Å, b = 3.791 Å, c = 3.791 Å, α = 90.00°, β = 90.00° and γ = 90.00°. The inequivalent atoms are Mg at (0.000, 0.000, 0.000), Cr at (0.000, 0.500, 0.500) and H at (0.500, 0.500, 0.500).



Material: NaMg2CrH8
Method: DFT, PBE
State: optimized geometry

For the total energy, the calculation gives -41.2 eV/f.u. The total moment comes out at 1.13 μB/f.u. The calculation puts the density of states at the Fermi level at 0.099 states/eV/atom.

It has space group P-1 (No. 2), with a = 3.154 Å, b = 4.721 Å, c = 6.607 Å, α = 89.37°, β = 89.89° and γ = 83.33°. The inequivalent atoms are Na at (0.000, 0.000, 0.000), Mg at (0.495, 0.497, 0.247), Cr at (0.000, 0.000, 0.500), H at (0.002, 0.767, 0.301), H at (0.003, 0.767, 0.703), H at (0.417, 0.287, 0.998) and H at (0.474, 0.195, 0.502).



Material: Na2MgCrH6
Method: DFT, PBE
State: optimized geometry

For the total energy, the calculation gives -35.1 eV/f.u. The total moment comes out at 3.25 μB/f.u. The calculation puts the density of states at the Fermi level at 0.219 states/eV/atom.

It has space group Fm-3m (No. 225), with a = 7.441 Å, b = 7.441 Å, c = 7.441 Å, α = 90.00°, β = 90.00° and γ = 90.00°. The inequivalent atoms are Na at (0.250, 0.250, 0.250), Mg at (0.000, 0.000, 0.000), Cr at (0.000, 0.000, 0.500) and H at (0.000, 0.000, 0.262).



Material: NdMg2CrH8
Method: DFT, PBE
State: optimized geometry

For the total energy, the calculation gives -45.8 eV/f.u. The total moment comes out at 3.33 μB/f.u. The calculation puts the density of states at the Fermi level at 0.250 states/eV/atom.

It has space group P2/m (No. 10), with a = 4.743 Å, b = 3.528 Å, c = 6.781 Å, α = 90.00°, β = 90.07° and γ = 90.00°. The inequivalent atoms are Nd at (0.000, 0.000, 0.000), Mg at (0.500, 0.500, 0.267), Cr at (0.000, 0.000, 0.500), H at (0.212, 0.500, 0.500), H at (0.253, 0.000, 0.288), H at (0.253, 0.000, 0.713) and H at (0.282, 0.500, 0.001).



Material: MgCrNi2H
Method: DFT, PBE
State: optimized geometry

For the total energy, the calculation gives -26.0 eV/f.u. The total moment comes out at 4.01 μB/f.u. The calculation puts the density of states at the Fermi level at 0.678 states/eV/atom.

It has space group P4/mmm (No. 123), with a = 3.850 Å, b = 3.850 Å, c = 3.703 Å, α = 90.00°, β = 90.00° and γ = 90.00°. The inequivalent atoms are Mg at (0.000, 0.000, 0.000), Cr at (0.500, 0.500, 0.000), Ni at (0.000, 0.500, 0.500) and H at (0.500, 0.500, 0.500).



Material: Mg2NpCrH8
Method: DFT, PBE
State: optimized geometry

For the total energy, the calculation gives -52.9 eV/f.u. The total moment comes out at 4.88 μB/f.u. The calculation puts the density of states at the Fermi level at 0.370 states/eV/atom.

It has space group Pmmm (No. 47), with a = 3.225 Å, b = 4.739 Å, c = 6.570 Å, α = 90.00°, β = 90.00° and γ = 90.00°. The inequivalent atoms are Mg at (0.000, 0.000, 0.227), Np at (0.500, 0.500, 0.500), Cr at (0.500, 0.500, 0.000), H at (0.000, 0.208, 0.500), H at (0.000, 0.300, 0.000) and H at (0.500, 0.264, 0.211).